Model P:
# Te2AsPdN, relaxed, DFT GGA-PBE
# **Density of states at the Fermi level**: 0.659 states/eV per atom
# **Calculated density**: 6.914 g/cm³
# **Magnetization**: 0.0 μB/f.u.
data_Te2AsPdN
_chemical_formula_sum 'Te2 As1 Pd1 N1'
_space_group_name_H-M_alt 'P 4/m m m'
_space_group_IT_number 123
_space_group_name_Hall '-P 4 2'
_cell_length_a 5.531
_cell_length_b 5.531
_cell_length_c 3.538
_cell_angle_alpha 90.00
_cell_angle_beta 90.00
_cell_angle_gamma 90.00
loop_
_atom_site_label
_atom_site_fract_x
_atom_site_fract_y
_atom_site_fract_z
Te1 0.000 0.500 0.000
As1 0.000 0.000 0.000
Pd1 0.500 0.500 0.500
N1 0.000 0.000 0.500

=====

Model Q:
# Te2AsPdN, relaxed, DFT GGA-PBE
# **Density of states at the Fermi level**: 0.821 states/eV per atom
# **Calculated density**: 6.680 g/cm³
# **Magnetization**: 0.0 μB/f.u.
data_Te2AsPdN
_chemical_formula_sum 'Te2 As1 Pd1 N1'
_space_group_name_H-M_alt 'P 4/m m m'
_space_group_IT_number 123
_space_group_name_Hall '-P 4 2'
_cell_length_a 5.486
_cell_length_b 5.486
_cell_length_c 3.722
_cell_angle_alpha 90.00
_cell_angle_beta 90.00
_cell_angle_gamma 90.00
loop_
_atom_site_label
_atom_site_fract_x
_atom_site_fract_y
_atom_site_fract_z
Te1 0.000 0.500 0.000
As1 0.000 0.000 0.500
Pd1 0.500 0.500 0.000
N1 0.500 0.500 0.500

=====

Which of them is most stable, and which least? Most stable: model Q; least stable: model P.

=====

Model P:
# As3PtN, relaxed, DFT GGA-PBE
# **Density of states at the Fermi level**: 0.938 states/eV per atom
# **Calculated density**: 6.247 g/cm³
# **Magnetization**: 0.0 μB/f.u.
data_As3PtN
_chemical_formula_sum 'As3 Pt1 N1'
_space_group_name_H-M_alt 'P m -3 m'
_space_group_IT_number 221
_space_group_name_Hall '-P 4 2 3'
_cell_length_a 4.867
_cell_length_b 4.867
_cell_length_c 4.867
_cell_angle_alpha 90.00
_cell_angle_beta 90.00
_cell_angle_gamma 90.00
loop_
_atom_site_label
_atom_site_fract_x
_atom_site_fract_y
_atom_site_fract_z
As1 0.000 0.000 0.500
Pt1 0.000 0.000 0.000
N1 0.500 0.500 0.500

=====

Model Q:
# As3PtN, relaxed, DFT GGA-PBE
# **Density of states at the Fermi level**: 0.184 states/eV per atom
# **Calculated density**: 9.157 g/cm³
# **Magnetization**: 0.0 μB/f.u.
data_As3PtN
_chemical_formula_sum 'As3 Pt1 N1'
_space_group_name_H-M_alt 'P m -3 m'
_space_group_IT_number 221
_space_group_name_Hall '-P 4 2 3'
_cell_length_a 4.285
_cell_length_b 4.285
_cell_length_c 4.285
_cell_angle_alpha 90.00
_cell_angle_beta 90.00
_cell_angle_gamma 90.00
loop_
_atom_site_label
_atom_site_fract_x
_atom_site_fract_y
_atom_site_fract_z
As1 0.000 0.000 0.500
Pt1 0.500 0.500 0.500
N1 0.000 0.000 0.000

=====

Which of them is most stable, and which least? Most stable: model Q; least stable: model P.

=====

Model P:
# AsPt2N, relaxed, DFT GGA-PBE
# **Density of states at the Fermi level**: 0.079 states/eV per atom
# **Calculated density**: 11.773 g/cm³
# **Magnetization**: 0.0 μB/f.u.
data_AsPt2N
_chemical_formula_sum 'As4 Pt8 N4'
_space_group_name_H-M_alt 'I -4 2 d'
_space_group_IT_number 122
_space_group_name_Hall 'I -4 2bw'
_cell_length_a 4.746
_cell_length_b 4.746
_cell_length_c 11.998
_cell_angle_alpha 90.00
_cell_angle_beta 90.00
_cell_angle_gamma 90.00
loop_
_atom_site_label
_atom_site_fract_x
_atom_site_fract_y
_atom_site_fract_z
As1 0.000 0.000 0.000
Pt1 0.152 0.250 0.625
N1 0.000 0.000 0.500

=====

Model Q:
# AsPt2N, relaxed, DFT GGA-PBE
# **Density of states at the Fermi level**: 0.856 states/eV per atom
# **Calculated density**: 14.437 g/cm³
# **Magnetization**: 0.0 μB/f.u.
data_AsPt2N
_chemical_formula_sum 'As4 Pt8 N4'
_space_group_name_H-M_alt 'F m -3 m'
_space_group_IT_number 225
_space_group_name_Hall '-F 4 2 3'
_cell_length_a 6.041
_cell_length_b 6.041
_cell_length_c 6.041
_cell_angle_alpha 90.00
_cell_angle_beta 90.00
_cell_angle_gamma 90.00
loop_
_atom_site_label
_atom_site_fract_x
_atom_site_fract_y
_atom_site_fract_z
As1 0.000 0.000 0.000
Pt1 0.250 0.250 0.250
N1 0.000 0.000 0.500

=====

Which of them is most stable, and which least? Most stable: model P; least stable: model Q.

=====

Model P:
# AsPt3N, relaxed, DFT GGA-PBE
# **Density of states at the Fermi level**: 0.734 states/eV per atom
# **Calculated density**: 14.698 g/cm³
# **Magnetization**: 0.0 μB/f.u.
data_AsPt3N
_chemical_formula_sum 'As1 Pt3 N1'
_space_group_name_H-M_alt 'P m -3 m'
_space_group_IT_number 221
_space_group_name_Hall '-P 4 2 3'
_cell_length_a 4.239
_cell_length_b 4.239
_cell_length_c 4.239
_cell_angle_alpha 90.00
_cell_angle_beta 90.00
_cell_angle_gamma 90.00
loop_
_atom_site_label
_atom_site_fract_x
_atom_site_fract_y
_atom_site_fract_z
As1 0.000 0.000 0.000
Pt1 0.000 0.500 0.500
N1 0.500 0.500 0.500

=====

Model Q:
# AsPt3N, relaxed, DFT GGA-PBE
# **Density of states at the Fermi level**: 0.352 states/eV per atom
# **Calculated density**: 10.900 g/cm³
# **Magnetization**: 1.8 μB/f.u.
data_AsPt3N
_chemical_formula_sum 'As1 Pt3 N1'
_space_group_name_H-M_alt 'P m -3 m'
_space_group_IT_number 221
_space_group_name_Hall '-P 4 2 3'
_cell_length_a 4.683
_cell_length_b 4.683
_cell_length_c 4.683
_cell_angle_alpha 90.00
_cell_angle_beta 90.00
_cell_angle_gamma 90.00
loop_
_atom_site_label
_atom_site_fract_x
_atom_site_fract_y
_atom_site_fract_z
As1 0.000 0.000 0.000
Pt1 0.000 0.000 0.500
N1 0.500 0.500 0.500

=====

Which of them is most stable, and which least? Most stable: model P; least stable: model Q.